First-principles (GGA-PBE) data for a relaxed BaBi2Pb crystal, as listed in the Alexandria database.

Summary:
theoretical density: 8.226 Mg/m³
DFT formation energy: -122 kJ/mol of formula units
SG: I-42d (122)
crystal system: tetragonal

Cell: 9.366 9.366 7.018 Å, 90.00 90.00 90.00°
Element x y z (fractional)
Ba 0.000 0.000 0.000
Ba 0.000 0.500 0.250
Ba 0.500 0.000 0.750
Ba 0.500 0.500 0.500
Bi 0.221 0.250 0.625
Bi 0.250 0.721 0.875
Bi 0.250 0.779 0.375
Bi 0.279 0.250 0.125
Bi 0.721 0.750 0.125
Bi 0.750 0.221 0.375
Bi 0.750 0.279 0.875
Bi 0.779 0.750 0.625
Pb 0.000 0.000 0.500
Pb 0.000 0.500 0.750
Pb 0.500 0.000 0.250
Pb 0.500 0.500 0.000